Computed, not measured: a crystal of KAs2PdSe relaxed with PBEsol at the SCAN level of DFT.

Output
Its energy relative to the elements, uncorrected is 8.909 eV per formula unit. For the total magnetization, the calculation gives 1.3 μB/cell. The energy is -18.53 eV per atom. The calculated volume comes out at 142.6 Å³/cell.

Lattice parameters (Å, degrees): 5.1934 5.1934 5.2874 90.00 90.00 90.00
Closest atoms and distances in Å follow each position.
Fractional positions:
As (0.5000, 0.0000, 0.0000)  2 K 2.60
As (0.0000, 0.5000, 0.0000)  2 K 2.60
Se (0.0000, 0.0000, 0.5000)  2 K 2.64
K (0.0000, 0.0000, 0.0000)  4 As 2.60, 2 Se 2.64
Pd (0.5000, 0.5000, 0.5000)  4 Se 3.67, 8 As 3.71